Computed, not measured: an optimized crystal structure of FeC6O6 at the GGA+U level of DFT.

CIF file:
```
data_FeC6O6
_symmetry_space_group_name_H-M 'C 1 2/m 1'
_symmetry_Int_Tables_number 12
_cell_length_a 5.0654
_cell_length_b 11.1045
_cell_length_c 9.9610
_cell_angle_alpha 90.00
_cell_angle_beta 102.61
_cell_angle_gamma 90.00
loop_
_symmetry_equiv_pos_as_xyz
'x,y,z'
'-x,-y,-z'
'-x,y,-z'
'x,-y,z'
'x+1/2,y+1/2,z'
'-x+1/2,-y+1/2,-z'
'-x+1/2,y+1/2,-z'
'x+1/2,-y+1/2,z'
loop_
_atom_site_label
_atom_site_type_symbol
_atom_site_fract_x
_atom_site_fract_y
_atom_site_fract_z
Fe1 Fe 0.0000 0.0000 0.0000
C1 C 0.1234 0.2408 0.9994
C2 C 0.1722 0.5000 0.3455
O1 O 0.0968 0.5000 0.9580
O2 O 0.1739 0.3940 0.3471
```

Spin magnetization ... 0.295 μB per atom
ρ ... 1360 kg/m³
Uncorrected energy ... -0.26538 Ha/atom